Compound: Er5Si4
Source: the Open Quantum Materials Database
Functional: GGA-PBE
Structure: relaxed

Computed properties:
- Theoretical density: 7.8 g/cm³
- E_tot: -5.6946 eV per atom

a = 7.3632 Å, b = 14.4134 Å, c = 7.6183 Å
α = 90.00°, β = 90.00°, γ = 90.00°
Space group Pnma (No. 62)
Asymmetric unit:
1 Er 0.0300 0.0985 0.1830 [8 per cell]
2 Er 0.1465 0.7500 0.5111 [4 per cell]
3 Er 0.1836 0.1230 0.6785 [8 per cell]
4 Si 0.0183 0.7500 0.1043 [4 per cell]
5 Si 0.1460 0.5406 0.4717 [8 per cell]
6 Si 0.2347 0.2500 0.3711 [4 per cell]